1.
The following is a DFT calculation (PBE) of a relaxed LaSc2Ta crystal.

magnetization: 0.00 Bohr magnetons per cell
crystal system: tetragonal
calculated total energy: -6.67 eV per atom

Cell lengths 4.420, 4.420, 10.914 Å; angles 78.32, 78.32, 90.00 degrees
Element x y z (fractional)
La 0.250 0.750 0.500
La 0.500 0.500 0.000
Sc 0.875 0.353 0.750
Sc 0.647 0.625 0.250
Sc 0.103 0.125 0.250
Sc 0.375 0.897 0.750
Ta 0.750 0.250 0.500
Ta 0.000 0.000 0.000

2.
The following is a DFT calculation (PBE) of a relaxed PmThRh2 crystal.

magnetization: 0.00 Bohr magnetons per cell
crystal system: trigonal
energy above the lowest structure with this stoichiometry: 0.098 eV/atom

Cell lengths 4.068, 4.068, 7.147 Å; angles 73.47, 73.47, 60.00 degrees
Element x y z (fractional)
Th 0.000 0.000 0.000
Pm 0.500 0.500 0.500
Rh 0.254 0.254 0.238
Rh 0.746 0.746 0.762

3.
The following is a DFT calculation (PBE) of a relaxed K3SmP2O8 crystal.

uncorrected formation energy: -2.56 eV per atom
magnetization: 0.00 Bohr magnetons per cell
crystal system: trigonal
energy above the lowest structure with this stoichiometry: 0.022 eV/atom

Cell lengths 5.766, 5.766, 7.868 Å; angles 90.00, 90.00, 120.00 degrees
Element x y z (fractional)
O 0.813 0.627 0.674
O 0.187 0.813 0.326
O 0.333 0.667 0.061
O 0.667 0.333 0.939
O 0.813 0.187 0.674
O 0.373 0.187 0.674
O 0.627 0.813 0.326
O 0.187 0.373 0.326
K 0.000 0.000 0.000
K 0.667 0.333 0.265
K 0.333 0.667 0.735
P 0.667 0.333 0.746
P 0.333 0.667 0.254
Sm 0.000 0.000 0.500

4.
The following is a DFT calculation (PBE) of a relaxed La6TbPm2 crystal.

magnetization: 0.00 Bohr magnetons per cell
crystal system: orthorhombic
energy above the lowest structure with this stoichiometry: 0.058 eV/atom

Cell lengths 3.702, 10.253, 10.253 Å; angles 55.77, 90.00, 90.00 degrees
Element x y z (fractional)
La 0.000 0.493 0.836
La 0.500 0.321 0.679
La 0.000 0.164 0.507
La 0.500 0.679 0.321
La 0.000 0.836 0.493
La 0.000 0.507 0.164
Pm 0.500 0.173 0.173
Pm 0.500 0.827 0.827
Tb 0.000 0.000 0.000

5.
The following is a DFT calculation (PBE) of a relaxed ScTlCr2Pb crystal.

magnetization: 8.12 Bohr magnetons per cell
crystal system: tetragonal
calculated total energy: -5.10 eV per atom

Cell lengths 5.167, 5.748, 5.167 Å; angles 90.00, 90.00, 90.00 degrees
Last column: magnetic moment on the atom in μB.
Element x y z (fractional)
Cr 0.000 0.000 0.500  3.86
Cr 0.500 0.000 0.000  3.71
Pb 0.000 0.000 0.000  -0.07
Tl 0.000 0.500 0.000  0.00
Sc 0.500 0.500 0.500  -0.27

6.
The following is a DFT calculation (PBE) of a relaxed HgPtPb4 crystal.

magnetization: 0.00 Bohr magnetons per cell
crystal system: cubic
energy above the lowest structure with this stoichiometry: 0.587 eV/atom

Cell lengths 6.319, 6.319, 6.319 Å; angles 60.00, 60.00, 60.00 degrees
Element x y z (fractional)
Pb 0.376 0.376 0.376
Pb 0.873 0.376 0.376
Pb 0.376 0.376 0.873
Pb 0.376 0.873 0.376
Hg 0.000 0.000 0.000
Pt 0.750 0.750 0.750

Question: Which value of magnetization does entry 2 give?
Answer: 0.00 Bohr magnetons per cell

Please write out number 2 again, unchanged.
The following is a DFT calculation (PBE) of a relaxed PmThRh2 crystal.

magnetization: 0.00 Bohr magnetons per cell
crystal system: trigonal
energy above the lowest structure with this stoichiometry: 0.098 eV/atom

Cell lengths 4.068, 4.068, 7.147 Å; angles 73.47, 73.47, 60.00 degrees
Element x y z (fractional)
Th 0.000 0.000 0.000
Pm 0.500 0.500 0.500
Rh 0.254 0.254 0.238
Rh 0.746 0.746 0.762

Question: Which formula does entry 3 have?
Answer: K3SmP2O8

Question: Among the records above, which one has the highest magnetization?
Answer: ScTlCr2Pb